Run A
# TaSnC3 GGA-PBE relaxed
# D(E_F): 3.6 states/eV/f.u.
# size of the total moment: 0.000 μB/atom
data_TaSnC3
_cell_length_a 4.125
_cell_length_b 4.125
_cell_length_c 4.125
_cell_angle_alpha 90.00
_cell_angle_beta 90.00
_cell_angle_gamma 90.00
_space_group_name_H-M_alt 'P m -3 m'
_space_group_IT_number 221
_space_group_name_Hall '-P 4 2 3'
loop_
_atom_site_label
_atom_site_fract_x
_atom_site_fract_y
_atom_site_fract_z
Ta1 0.000 0.000 0.000
Sn1 0.500 0.500 0.500
C1 0.000 0.500 0.500

=====

Run B
# TaSnC3 GGA-PBE relaxed
# D(E_F): 3.7 states/eV/f.u.
# size of the total moment: 0.000 μB/atom
data_TaSnC3
_cell_length_a 4.250
_cell_length_b 4.250
_cell_length_c 4.250
_cell_angle_alpha 90.00
_cell_angle_beta 90.00
_cell_angle_gamma 90.00
_space_group_name_H-M_alt 'P m -3 m'
_space_group_IT_number 221
_space_group_name_Hall '-P 4 2 3'
loop_
_atom_site_label
_atom_site_fract_x
_atom_site_fract_y
_atom_site_fract_z
Ta1 0.000 0.000 0.000
Sn1 0.500 0.500 0.500
C1 0.000 0.000 0.500

=====

What is the most stable structure shown above? It is run B.